No. 1
The following is a DFT calculation (PBE) of NaLiTiSe3 after structural relaxation.

Computed properties:
- ΔE_f (raw) (eV per atom) = -1.117

Lattice parameters (Å, degrees): 3.769 8.253 8.901 106.18 90.00 90.00
Sites, in units of the cell vectors:
Ti1 0.250 0.677 0.167
Se1 0.250 0.127 0.883
Li1 0.250 0.076 0.602
Na1 0.750 0.786 0.747
Se2 0.750 0.453 0.149
Se3 0.750 0.242 0.543
Li2 0.750 0.924 0.398
Se4 0.250 0.547 0.851
Ti2 0.750 0.323 0.833
Na2 0.250 0.214 0.253
Se5 0.750 0.873 0.117
Se6 0.250 0.758 0.457

=====

No. 2
The following is a DFT calculation (PBE) of Sm3Dy6Ho2Zr after structural relaxation.

Computed properties:
- formation energy from the elements (eV per atom) = 0.043

Lattice parameters (Å, degrees): 6.107 6.107 11.670 94.97 94.97 119.92
Sites, in units of the cell vectors:
Dy1 0.081 0.408 0.242
Ho1 0.333 0.667 0.000
Dy2 0.592 0.919 0.758
Dy3 0.408 0.081 0.242
Dy4 0.919 0.592 0.758
Dy5 0.246 0.246 0.758
Dy6 0.754 0.754 0.242
Sm1 0.166 0.834 0.500
Sm2 0.834 0.166 0.500
Ho2 0.667 0.333 0.000
Sm3 0.500 0.500 0.500
Zr1 0.000 0.000 0.000

=====

No. 3
The following is a DFT calculation (PBE) of NdDy6S8 after structural relaxation.

Computed properties:
- ΔE_f (raw) (eV per atom) = -2.033

Lattice parameters (Å, degrees): 7.817 7.817 7.817 60.00 60.00 60.00
Sites, in units of the cell vectors:
Dy1 0.000 0.000 0.500
S1 0.742 0.258 0.258
Nd1 0.000 0.000 0.000
S2 0.258 0.258 0.742
S3 0.258 0.742 0.742
S4 0.742 0.742 0.258
Dy2 0.500 0.000 0.500
Dy3 0.500 0.000 0.000
Dy4 0.500 0.500 0.000
S5 0.742 0.258 0.742
Dy5 0.000 0.500 0.500
S6 0.258 0.742 0.258
Dy6 0.000 0.500 0.000
S7 0.750 0.750 0.750
S8 0.250 0.250 0.250

=====

No. 4
The following is a DFT calculation (PBE) of MoSe after structural relaxation.

Computed properties:
- ΔE_f (raw) (eV per atom) = -0.167
- polymorph energy (0 for the lowest one) (kJ/mol of formula units) = 21.7

Lattice parameters (Å, degrees): 9.358 9.358 3.240 90.00 90.00 120.00
Sites, in units of the cell vectors:
Mo1 0.135 0.626 0.750
Mo2 0.626 0.491 0.250
Se1 0.673 0.715 0.750
Se2 0.285 0.958 0.750
Mo3 0.509 0.135 0.250
Mo4 0.374 0.509 0.750
Se3 0.715 0.042 0.250
Mo5 0.865 0.374 0.250
Se4 0.327 0.285 0.250
Se5 0.042 0.327 0.750
Se6 0.958 0.673 0.250
Mo6 0.491 0.865 0.750

=====

No. 5
The following is a DFT calculation (PBE) of Ce6GeAs2Se3 after structural relaxation.

Computed properties:
- ΔE_f (raw) (eV per atom) = -1.528

Lattice parameters (Å, degrees): 4.229 8.431 9.437 102.74 102.95 90.00
Sites, in units of the cell vectors:
Ge1 0.500 0.000 0.000
Se1 0.833 0.167 0.667
Ce1 0.334 0.914 0.669
Ce2 0.332 0.420 0.665
Se2 0.167 0.833 0.333
As1 0.167 0.334 0.334
Ce3 0.999 0.752 0.998
Ce4 0.666 0.086 0.331
Ce5 0.668 0.580 0.335
Se3 0.500 0.500 0.000
Ce6 0.001 0.248 0.002
As2 0.833 0.666 0.666

=====

No. 6
The following is a DFT calculation (PBE) of TbSb2Rh3 after structural relaxation.

Computed properties:
- ΔE_f (raw) (eV per atom) = -0.714

Lattice parameters (Å, degrees): 4.182 8.947 10.143 106.83 90.00 103.51
Sites, in units of the cell vectors:
Rh1 0.613 0.227 0.193
Sb1 0.639 0.278 0.458
Sb2 0.361 0.722 0.542
Rh2 0.958 0.917 0.671
Rh3 0.500 0.000 0.500
Rh4 0.785 0.570 0.608
Rh5 0.387 0.773 0.807
Sb3 0.542 0.083 0.782
Rh6 0.215 0.430 0.392
Rh7 0.317 0.635 0.042
Sb4 0.190 0.380 0.125
Tb1 0.837 0.675 0.292
Tb2 0.000 0.000 0.000
Tb3 0.163 0.325 0.708
Sb5 0.458 0.917 0.218
Rh8 0.042 0.083 0.329
Rh9 0.683 0.365 0.958
Sb6 0.810 0.620 0.875

=====

No. 7
The following is a DFT calculation (PBE) of Li4Ga3Co after structural relaxation.

Computed properties:
- formation energy from the elements (eV per atom) = -0.149

Lattice parameters (Å, degrees): 2.664 4.075 11.612 100.52 90.00 90.00
Sites, in units of the cell vectors:
Li1 0.500 0.594 0.193
Ga1 0.000 0.161 0.327
Co1 0.000 0.500 0.000
Li2 0.500 0.406 0.807
Li3 0.500 0.715 0.432
Ga2 0.500 0.000 0.000
Li4 0.500 0.285 0.568
Ga3 0.000 0.839 0.673

=====

No. 8
The following is a DFT calculation (PBE) of BaCaBr2 after structural relaxation.

Computed properties:
- ΔE_f (raw) (eV per atom) = -1.311
- polymorph energy (0 for the lowest one) (kJ/mol of formula units) = 51.3

Lattice parameters (Å, degrees): 8.390 8.390 8.390 152.35 144.21 45.81
Sites, in units of the cell vectors:
Br1 0.044 0.044 0.000
Ba1 0.240 0.740 0.500
Ca1 0.483 0.483 0.000
Br2 0.733 0.233 0.500